(1)
VASP calculation (PBE) on a geometry-optimized SmPaHg2 structure.

Lattice parameters (Å, degrees): 5.329 5.329 5.329 60.00 60.00 60.00
Sites, in units of the cell vectors:
Sm 0.000 0.000 0.000
Pa 0.500 0.500 0.500
Hg 0.250 0.250 0.250
Hg 0.750 0.750 0.750

Summary:
Energy above the lowest structure with this stoichiometry   0.1021 eV per atom
Formation energy from the elements   -4.4 kJ/mol of atoms
DFT total energy   -3.750 eV per atom
Total magnetization   0.642 μB per atom
ρ   12.14 Mg/m³


(2)
VASP calculation (PBE) on a geometry-optimized SmPaHg2 structure.

Lattice parameters (Å, degrees): 10.926 10.926 10.926 17.57 17.57 17.57
Sites, in units of the cell vectors:
Sm 0.000 0.000 0.000
Pa 0.500 0.500 0.500
Hg 0.250 0.250 0.250
Hg 0.750 0.750 0.750

Summary:
Energy above the lowest structure with this stoichiometry   0.1080 eV per atom
Formation energy from the elements   -3.8 kJ/mol of atoms
DFT total energy   -3.744 eV per atom
Total magnetization   0.000 μB per atom
ρ   12.53 Mg/m³


(3)
VASP calculation (PBE) on a geometry-optimized SmPaHg2 structure.

Lattice parameters (Å, degrees): 3.348 3.348 9.052 90.00 90.00 90.00
Sites, in units of the cell vectors:
Sm 0.000 0.000 0.000
Pa 0.000 0.000 0.500
Hg 0.500 0.500 0.250
Hg 0.500 0.500 0.750

Summary:
Energy above the lowest structure with this stoichiometry   0.0000 eV per atom
Formation energy from the elements   -14.2 kJ/mol of atoms
DFT total energy   -3.852 eV per atom
Total magnetization   0.274 μB per atom
ρ   12.81 Mg/m³


(4)
VASP calculation (PBE) on a geometry-optimized SmPaSnHg structure.

Lattice parameters (Å, degrees): 5.349 5.349 5.349 60.00 60.00 60.00
Sites, in units of the cell vectors:
Sm 0.000 0.000 0.000
Pa 0.500 0.500 0.500
Sn 0.250 0.250 0.250
Hg 0.750 0.750 0.750

Summary:
Formation energy from the elements   -18.0 kJ/mol of atoms
DFT total energy   -4.816 eV per atom
Total magnetization   0.422 μB per atom
ρ   10.75 Mg/m³


(5)
VASP calculation (PBE) on a geometry-optimized SmPaZnHg structure.

Lattice parameters (Å, degrees): 5.226 5.226 5.226 60.00 60.00 60.00
Sites, in units of the cell vectors:
Sm 0.000 0.000 0.000
Pa 0.500 0.500 0.500
Zn 0.250 0.250 0.250
Hg 0.750 0.750 0.750

Summary:
Formation energy from the elements   1.4 kJ/mol of atoms
DFT total energy   -3.933 eV per atom
Total magnetization   0.537 μB per atom
ρ   10.65 Mg/m³


(6)
VASP calculation (PBE) on a geometry-optimized Pa2SnHg structure.

Lattice parameters (Å, degrees): 5.297 5.297 5.297 60.00 60.00 60.00
Sites, in units of the cell vectors:
Pa 0.250 0.250 0.250
Pa 0.750 0.750 0.750
Sn 0.000 0.000 0.000
Hg 0.500 0.500 0.500

Summary:
Energy above the lowest structure with this stoichiometry   0.1574 eV per atom
Formation energy from the elements   11.1 kJ/mol of atoms
DFT total energy   -5.709 eV per atom
Total magnetization   0.783 μB per atom
ρ   12.35 Mg/m³


(7)
VASP calculation (PBE) on a geometry-optimized Pa2SnHg structure.

Lattice parameters (Å, degrees): 4.108 4.108 6.087 90.00 90.00 90.00
Sites, in units of the cell vectors:
Pa 0.000 0.000 0.245
Pa 0.000 0.000 0.755
Sn 0.500 0.500 0.000
Hg 0.500 0.500 0.500

Summary:
Energy above the lowest structure with this stoichiometry   0.0419 eV per atom
Formation energy from the elements   0.0 kJ/mol of atoms
DFT total energy   -5.825 eV per atom
Total magnetization   0.536 μB per atom
ρ   12.63 Mg/m³


(8)
VASP calculation (PBE) on a geometry-optimized PaSnHg2 structure.

Lattice parameters (Å, degrees): 5.199 5.199 5.199 60.00 60.00 60.00
Sites, in units of the cell vectors:
Pa 0.000 0.000 0.000
Sn 0.500 0.500 0.500
Hg 0.250 0.250 0.250
Hg 0.750 0.750 0.750

Summary:
Energy above the lowest structure with this stoichiometry   0.1635 eV per atom
Formation energy from the elements   6.6 kJ/mol of atoms
DFT total energy   -3.457 eV per atom
Total magnetization   0.212 μB per atom
ρ   12.55 Mg/m³


Question: Which formula does entry 4 have?
Answer: SmPaSnHg


What did the first record say?
VASP calculation (PBE) on a geometry-optimized SmPaHg2 structure.

Lattice parameters (Å, degrees): 5.329 5.329 5.329 60.00 60.00 60.00
Sites, in units of the cell vectors:
Sm 0.000 0.000 0.000
Pa 0.500 0.500 0.500
Hg 0.250 0.250 0.250
Hg 0.750 0.750 0.750

Summary:
Energy above the lowest structure with this stoichiometry   0.1021 eV per atom
Formation energy from the elements   -4.4 kJ/mol of atoms
DFT total energy   -3.750 eV per atom
Total magnetization   0.642 μB per atom
ρ   12.14 Mg/m³


What did the eighth record say?
VASP calculation (PBE) on a geometry-optimized PaSnHg2 structure.

Lattice parameters (Å, degrees): 5.199 5.199 5.199 60.00 60.00 60.00
Sites, in units of the cell vectors:
Pa 0.000 0.000 0.000
Sn 0.500 0.500 0.500
Hg 0.250 0.250 0.250
Hg 0.750 0.750 0.750

Summary:
Energy above the lowest structure with this stoichiometry   0.1635 eV per atom
Formation energy from the elements   6.6 kJ/mol of atoms
DFT total energy   -3.457 eV per atom
Total magnetization   0.212 μB per atom
ρ   12.55 Mg/m³


Question: Look up the total magnetization of the seventh one.
Answer: 0.536 μB per atom